1.
## TeS2Cl (PBE)

Data for TeS2Cl after structural relaxation.

Values from the calculation:
SG   I-42d, No. 122
Formation energy (no corrections)   149 kJ/mol of formula units
ΔE to the lowest computed polymorph   412 meV per atom
Magnetization   0.00 Bohr magnetons per cell

a = 7.323 Å, b = 7.323 Å, c = 6.429 Å
α = 55.28°, β = 55.28°, γ = 90.00°
Fractional positions:
S 0.665 0.125 0.250
S 0.085 0.625 0.250
S 0.375 0.335 0.750
S 0.875 0.915 0.750
Te 0.000 0.000 0.000
Te 0.750 0.250 0.500
Cl 0.500 0.500 0.000
Cl 0.250 0.750 0.500


2.
## MnRu2AuS (PBE)

Data for MnRu2AuS after structural relaxation.

Values from the calculation:
SG   P4/mmm, No. 123
Formation energy (no corrections)   1095 kJ/mol of formula units
Magnetization   4.57 Bohr magnetons per cell

a = 4.955 Å, b = 4.611 Å, c = 4.955 Å
α = 90.00°, β = 90.00°, γ = 90.00°
Site moments in Bohr magnetons follow the coordinates.
Fractional positions:
Ru 0.000 0.000 0.500  2.52
Ru 0.500 0.000 0.000  1.94
S 0.500 0.500 0.500  0.12
Mn 0.000 0.500 0.000  -0.40
Au 0.000 0.000 0.000  0.15


3.
## Sc2CdMoH (PBE)

Data for Sc2CdMoH after structural relaxation.

Values from the calculation:
DFT total energy   -5.701 eV/atom
SG   P4/mmm, No. 123
Magnetization   0.00 Bohr magnetons per cell

a = 4.667 Å, b = 4.667 Å, c = 3.725 Å
α = 90.00°, β = 90.00°, γ = 90.00°
Fractional positions:
Sc 0.000 0.500 0.000
Sc 0.500 0.000 0.000
H 0.000 0.000 0.000
Mo 0.000 0.000 0.500
Cd 0.500 0.500 0.500


4.
## CrSeBr2 (PBE)

Data for CrSeBr2 after structural relaxation.

Values from the calculation:
SG   Pmmm, No. 47
Formation energy (no corrections)   77 kJ/mol of formula units
ΔE to the lowest computed polymorph   612 meV per atom
Magnetization   4.61 Bohr magnetons per cell

a = 3.690 Å, b = 6.851 Å, c = 4.106 Å
α = 90.00°, β = 90.00°, γ = 90.00°
Site moments in Bohr magnetons follow the coordinates.
Fractional positions:
Br 0.000 0.000 0.000  -0.03
Br 0.500 0.500 0.000  0.01
Cr 0.500 0.000 0.500  4.12
Se 0.000 0.500 0.500  -0.01


5.
## Mg5BeAu6 (PBE)

Data for Mg5BeAu6 after structural relaxation.

Values from the calculation:
SG   C2/m, No. 12
Energy relative to the elements   -0.50 eV/atom
Magnetization   0.00 Bohr magnetons per cell

a = 4.571 Å, b = 6.652 Å, c = 7.883 Å
α = 65.04°, β = 74.00°, γ = 90.00°
Fractional positions:
Be 0.000 0.000 0.000
Mg 0.680 0.180 0.639
Mg 0.336 0.336 0.328
Mg 0.000 0.500 0.000
Mg 0.664 0.664 0.672
Mg 0.320 0.820 0.361
Au 0.849 0.619 0.304
Au 0.849 0.077 0.304
Au 0.500 0.777 0.000
Au 0.500 0.223 0.000
Au 0.151 0.923 0.696
Au 0.151 0.381 0.696


6.
## KMn2AsN (PBE)

Data for KMn2AsN after structural relaxation.

Values from the calculation:
SG   P4/mmm, No. 123
Formation energy (no corrections)   412 kJ/mol of formula units
Magnetization   0.00 Bohr magnetons per cell

a = 3.906 Å, b = 4.970 Å, c = 3.906 Å
α = 90.00°, β = 90.00°, γ = 90.00°
Fractional positions:
As 0.000 0.500 0.000
Mn 0.000 0.000 0.500
Mn 0.500 0.000 0.000
K 0.500 0.500 0.500
N 0.000 0.000 0.000